No. 1
# In2TePt

A relaxed structure of In2TePt (PBE, Alexandria).

Lattice parameters (Å, degrees): 5.0856 5.0856 5.0856 119.17 119.17 91.45
Last column: nearest neighbours and their distance in Å.
Element x y z (fractional)
1 Pt 0.5000 0.5000 0.0000  4 In 3.13, 4 Te 3.13
2 In 0.2500 0.7500 0.5000  4 In 3.13, 4 Pt 3.13
3 In 0.0000 0.0000 0.0000  4 Te 3.13, 4 In 3.13
4 Te 0.7500 0.2500 0.5000  4 In 3.13, 4 Pt 3.13

Output
- formation energy from raw total energies (eV/atom) = 0.07
- SG = I-4m2, No. 119
- DOS(E_F) (states/eV/f.u.) = 1.2
- total energy (eV/cell) = -14.375

No. 2
# In4TePt

A relaxed structure of In4TePt (PBE, Alexandria).

Lattice parameters (Å, degrees): 6.0655 6.0655 6.0655 60.00 60.00 60.00
Last column: nearest neighbours and their distance in Å.
Element x y z (fractional)
1 Pt 0.7500 0.7500 0.7500  12 In 3.55, 4 Te 3.71
2 In 0.3755 0.8735 0.3755  6 In 3.02-3.04
3 In 0.3755 0.3755 0.8735  6 In 3.02-3.04
4 In 0.8735 0.3755 0.3755  6 In 3.02-3.04
5 In 0.3755 0.3755 0.3755  6 In 3.02-3.04
6 Te 0.0000 0.0000 0.0000  12 In 3.56, 4 Pt 3.71

Output
- formation energy from raw total energies (eV/atom) = 0.36
- SG = F-43m, No. 216
- DOS(E_F) (states/eV/f.u.) = 3.2
- total energy (eV/cell) = -17.979

No. 3
# In2TePt

A relaxed structure of In2TePt (PBE, Alexandria).

Lattice parameters (Å, degrees): 3.8700 4.0225 6.6770 72.33 90.00 90.00
Last column: nearest neighbours and their distance in Å.
Element x y z (fractional)
1 Pt 0.0000 0.7346 0.4037  5 In 2.68-2.82
2 In 0.0000 0.9461 0.9831  1 Pt 2.68
3 In 0.5000 0.2643 0.3461  4 Pt 2.81-2.82
4 Te 0.5000 0.5550 0.7670  2 Pt 3.01, 6 In 3.11-3.36

Output
- formation energy from raw total energies (eV/atom) = -0.23
- SG = Pm, No. 6
- DOS(E_F) (states/eV/f.u.) = 1.6
- total energy (eV/cell) = -15.597

No. 4
# In2TePt

A relaxed structure of In2TePt (PBE, Alexandria).

Lattice parameters (Å, degrees): 5.7201 5.7201 8.7352 70.89 70.89 90.00
Last column: nearest neighbours and their distance in Å.
Element x y z (fractional)
1 Pt 0.7500 0.2500 0.5000  4 In 2.62
2 Pt 0.0000 0.0000 0.0000  4 In 2.62
3 In 0.6949 0.1250 0.2500  2 Pt 2.62
4 In 0.0551 0.6250 0.2500  2 Pt 2.62
5 In 0.3750 0.3051 0.7500  2 Pt 2.62
6 In 0.8750 0.9449 0.7500  2 Pt 2.62
7 Te 0.2500 0.7500 0.5000  4 In 3.02
8 Te 0.5000 0.5000 0.0000  4 In 3.02

Output
- formation energy from raw total energies (eV/atom) = -0.13
- SG = I-42d, No. 122
- DOS(E_F) (states/eV/f.u.) = 0.7
- total energy (eV/cell) = -30.385

No. 5
# In2Te2Pt

A relaxed structure of In2Te2Pt (PBE, Alexandria).

Lattice parameters (Å, degrees): 7.1712 7.1712 5.7047 90.00 90.00 90.00
Last column: nearest neighbours and their distance in Å.
Element x y z (fractional)
1 In 0.3347 0.1653 0.5000  1 In 3.35, 6 Te 3.36-3.69
2 In 0.8347 0.3347 0.5000  1 In 3.35, 6 Te 3.36-3.69
3 In 0.1653 0.6653 0.5000  1 In 3.35, 6 Te 3.36-3.69
4 In 0.6653 0.8347 0.5000  1 In 3.35, 6 Te 3.36-3.69
5 Te 0.1603 0.3397 0.0000  2 Pt 2.69
6 Te 0.3397 0.8397 0.0000  2 Pt 2.69
7 Te 0.6603 0.1603 0.0000  2 Pt 2.69
8 Te 0.8397 0.6603 0.0000  2 Pt 2.69
9 Pt 0.5000 0.5000 0.0000  4 Te 2.69
10 Pt 0.0000 0.0000 0.0000  4 Te 2.69

Output
- formation energy from raw total energies (eV/atom) = -0.03
- SG = P4/mbm, No. 127
- DOS(E_F) (states/eV/f.u.) = 1.1
- total energy (eV/cell) = -35.940

No. 6
# In2TePt

A relaxed structure of In2TePt (PBE, Alexandria).

Lattice parameters (Å, degrees): 6.6907 5.8367 3.1591 89.97 61.89 116.46
Last column: nearest neighbours and their distance in Å.
Element x y z (fractional)
1 Te 0.5000 0.5000 0.0000  2 Pt 2.95, 2 Te 3.16
2 In 0.5000 0.0000 0.5000  4 In 2.95-3.16
3 In 0.0000 0.0000 0.0000  4 In 2.95-3.16
4 Pt 0.0000 0.5000 0.5000  2 Te 2.95, 2 Pt 3.16

Output
- formation energy from raw total energies (eV/atom) = 0.12
- SG = Cmmm, No. 65
- DOS(E_F) (states/eV/f.u.) = 2.2
- total energy (eV/cell) = -14.160

No. 7
# In2TePt

A relaxed structure of In2TePt (PBE, Alexandria).

Lattice parameters (Å, degrees): 3.1528 3.6912 8.2532 90.00 90.00 90.00
Last column: nearest neighbours and their distance in Å.
Element x y z (fractional)
1 Te 0.5000 0.5000 0.6970  4 Pt 2.98, 2 Te 3.15, 1 In 3.30
2 In 0.0000 0.0000 0.0180  6 In 3.15-3.34
3 In 0.5000 0.5000 0.2967  4 Pt 2.90, 2 In 3.15
4 Pt 0.0000 0.0000 0.4884  4 In 2.90, 4 Te 2.98, 2 Pt 3.15

Output
- formation energy from raw total energies (eV/atom) = -0.04
- SG = Pmm2, No. 25
- DOS(E_F) (states/eV/f.u.) = 2.0
- total energy (eV/cell) = -14.817

No. 8
# In2TePt2

A relaxed structure of In2TePt2 (PBE, Alexandria).

Lattice parameters (Å, degrees): 7.6658 7.6658 3.5209 90.00 90.00 90.00
Last column: nearest neighbours and their distance in Å.
Element x y z (fractional)
1 Pt 0.3588 0.8588 0.0000  6 In 2.83-2.87, 2 Te 2.96, 1 Pt 3.06
2 Pt 0.1412 0.3588 0.0000  6 In 2.83-2.87, 2 Te 2.96, 1 Pt 3.06
3 Pt 0.8588 0.6412 0.0000  6 In 2.83-2.87, 2 Te 2.96, 1 Pt 3.06
4 Pt 0.6412 0.1412 0.0000  6 In 2.83-2.87, 2 Te 2.96, 1 Pt 3.06
5 Te 0.5000 0.5000 0.0000  4 Pt 2.96
6 Te 0.0000 0.0000 0.0000  4 Pt 2.96
7 In 0.3457 0.1543 0.5000  6 Pt 2.83-2.87
8 In 0.6543 0.8457 0.5000  6 Pt 2.83-2.87
9 In 0.1543 0.6543 0.5000  6 Pt 2.83-2.87
10 In 0.8457 0.3457 0.5000  6 Pt 2.83-2.87

Output
- formation energy from raw total energies (eV/atom) = -0.26
- SG = P4/mbm, No. 127
- DOS(E_F) (states/eV/f.u.) = 2.5
- E above lowest polymorph (kJ/mol of formula units) = 0
- total energy (eV/cell) = -44.046

No. 9
# In2TePt

A relaxed structure of In2TePt (PBE, Alexandria).

Lattice parameters (Å, degrees): 4.0578 4.6683 5.7921 66.43 90.00 90.00
Last column: nearest neighbours and their distance in Å.
Element x y z (fractional)
1 In 0.0000 0.4440 0.4715  2 Pt 2.74, 2 In 2.98-3.00
2 In 0.0000 0.0560 0.0285  2 Pt 2.74, 2 In 2.98-3.00
3 Te 0.5000 0.7500 0.7500  2 Pt 2.90
4 Pt 0.5000 0.2500 0.2500  4 In 2.74, 2 Te 2.90

Output
- formation energy from raw total energies (eV/atom) = -0.14
- SG = P2/m, No. 10
- DOS(E_F) (states/eV/f.u.) = 1.7
- total energy (eV/cell) = -15.216

No. 10
# In2TePt2

A relaxed structure of In2TePt2 (PBE, Alexandria).

Lattice parameters (Å, degrees): 4.2165 4.2165 6.8515 72.08 72.08 90.00
Last column: nearest neighbours and their distance in Å.
Element x y z (fractional)
1 In 0.7500 0.2500 0.5000  4 Pt 2.73, 4 In 2.98
2 In 0.2500 0.7500 0.5000  4 Pt 2.73, 4 In 2.98
3 Pt 0.3910 0.3910 0.2181  1 Pt 2.69, 4 In 2.73
4 Pt 0.6090 0.6090 0.7819  1 Pt 2.69, 4 In 2.73
5 Te 0.0000 0.0000 0.0000  8 Pt 3.27

Output
- formation energy from raw total energies (eV/atom) = -0.18
- SG = I4/mmm, No. 139
- DOS(E_F) (states/eV/f.u.) = 2.1
- E above lowest polymorph (kJ/mol of formula units) = 41
- total energy (eV/cell) = -21.596

No. 11
# In2TePt

A relaxed structure of In2TePt (PBE, Alexandria).

Lattice parameters (Å, degrees): 7.0458 7.0458 7.0458 34.66 34.66 34.66
Last column: nearest neighbours and their distance in Å.
Element x y z (fractional)
1 In 0.9835 0.9835 0.9835  3 Pt 2.76
2 In 0.5165 0.5165 0.5165  3 Pt 2.76
3 Pt 0.2500 0.2500 0.2500  6 In 2.76
4 Te 0.7500 0.7500 0.7500  6 In 3.13

Output
- formation energy from raw total energies (eV/atom) = -0.25
- SG = R-3m, No. 166
- DOS(E_F) (states/eV/f.u.) = 1.1
- total energy (eV/cell) = -15.667

No. 12
# In2TePt

A relaxed structure of In2TePt (PBE, Alexandria).

Lattice parameters (Å, degrees): 5.0158 5.0158 3.8533 90.00 90.00 105.69
Last column: nearest neighbours and their distance in Å.
Element x y z (fractional)
1 Pt 0.5000 0.0000 0.5000  2 Te 3.03, 8 In 3.16
2 Te 0.0000 0.5000 0.5000  2 Pt 3.03, 8 In 3.16
3 In 0.0000 0.0000 0.0000  2 In 3.03, 4 Te 3.16, 4 Pt 3.16
4 In 0.5000 0.5000 0.0000  2 In 3.03, 4 Pt 3.16, 4 Te 3.16

Output
- formation energy from raw total energies (eV/atom) = 0.03
- SG = Cmmm, No. 65
- DOS(E_F) (states/eV/f.u.) = 1.8
- total energy (eV/cell) = -14.538

No. 13
# In2TePt

A relaxed structure of In2TePt (PBE, Alexandria).

Lattice parameters (Å, degrees): 6.2629 6.2629 6.2629 141.33 141.33 55.85
Last column: nearest neighbours and their distance in Å.
Element x y z (fractional)
1 Pt 0.2500 0.7500 0.5000  4 Te 2.93
2 In 0.5000 0.5000 0.0000  4 In 2.93
3 In 0.0000 0.0000 0.0000  4 In 2.93
4 Te 0.7500 0.2500 0.5000  4 Pt 2.93

Output
- formation energy from raw total energies (eV/atom) = 0.06
- SG = I4/mmm, No. 139
- DOS(E_F) (states/eV/f.u.) = 2.2
- total energy (eV/cell) = -14.406